(1)
Entry from Alexandria: a relaxed TeAsW2 crystal (PBE-GGA).

Computed properties:
Raw formation energy ... 2.0 eV/f.u.

```
data_TeAsW2
_space_group_name_H-M_alt 'P 4/m m m'
_space_group_IT_number 123
_space_group_name_Hall '-P 4 2'
_cell_length_a 3.256
_cell_length_b 3.256
_cell_length_c 6.523
_cell_angle_alpha 90.00
_cell_angle_beta 90.00
_cell_angle_gamma 90.00
loop_
_atom_site_label
_atom_site_fract_x
_atom_site_fract_y
_atom_site_fract_z
_atom_site_occupancy
Te1 0.000 0.000 0.000 1
As1 0.000 0.000 0.500 1
W1 0.500 0.500 0.286 1
```

=====

(2)
Entry from Alexandria: a relaxed MnAgP crystal (PBE-GGA).

Computed properties:
Calculated formation energy ... 0.100 eV per atom

```
data_MnAgP
_space_group_name_H-M_alt 'F -4 3 m'
_space_group_IT_number 216
_space_group_name_Hall 'F -4 2 3'
_cell_length_a 5.966
_cell_length_b 5.966
_cell_length_c 5.966
_cell_angle_alpha 90.00
_cell_angle_beta 90.00
_cell_angle_gamma 90.00
loop_
_atom_site_label
_atom_site_fract_x
_atom_site_fract_y
_atom_site_fract_z
_atom_site_occupancy
Mn1 0.000 0.000 0.000 1
Ag1 0.000 0.000 0.500 1
P1 0.250 0.250 0.250 1
```

=====

(3)
Entry from Alexandria: a relaxed Hf6Ir2Os crystal (PBE-GGA).

Computed properties:
Calculated formation energy ... -0.440 eV per atom

```
data_Hf6Ir2Os
_space_group_name_H-M_alt 'P 1 21/c 1'
_space_group_IT_number 14
_cell_length_a 5.547
_cell_length_b 7.096
_cell_length_c 10.654
_cell_angle_alpha 90.00
_cell_angle_beta 120.40
_cell_angle_gamma 90.00
loop_
_space_group_symop_operation_xyz
'x,y,z'
'-x,-y,-z'
'-x,y+1/2,-z+1/2'
'x,-y+1/2,z+1/2'
loop_
_atom_site_label
_atom_site_fract_x
_atom_site_fract_y
_atom_site_fract_z
_atom_site_occupancy
Hf1 0.074 0.065 0.244 1
Hf2 0.202 0.721 0.065 1
Hf3 0.385 0.146 0.047 1
Ir1 0.334 0.098 0.722 1
Os1 0.500 0.000 0.500 1
```

=====

(4)
Entry from Alexandria: a relaxed SmZnGaAu crystal (PBE-GGA).

Computed properties:
Calculated formation energy ... -0.494 eV per atom

```
data_SmZnGaAu
_space_group_name_H-M_alt 'F -4 3 m'
_space_group_IT_number 216
_space_group_name_Hall 'F -4 2 3'
_cell_length_a 6.882
_cell_length_b 6.882
_cell_length_c 6.882
_cell_angle_alpha 90.00
_cell_angle_beta 90.00
_cell_angle_gamma 90.00
loop_
_atom_site_label
_atom_site_fract_x
_atom_site_fract_y
_atom_site_fract_z
_atom_site_occupancy
Sm1 0.000 0.000 0.000 1
Zn1 0.250 0.250 0.750 1
Ga1 0.000 0.000 0.500 1
Au1 0.250 0.250 0.250 1
```

=====

(5)
Entry from Alexandria: a relaxed Mn2HgRh crystal (PBE-GGA).

Computed properties:
Calculated formation energy ... 0.215 eV per atom

```
data_Mn2HgRh
_space_group_name_H-M_alt 'F -4 3 m'
_space_group_IT_number 216
_space_group_name_Hall 'F -4 2 3'
_cell_length_a 6.351
_cell_length_b 6.351
_cell_length_c 6.351
_cell_angle_alpha 90.00
_cell_angle_beta 90.00
_cell_angle_gamma 90.00
loop_
_atom_site_label
_atom_site_fract_x
_atom_site_fract_y
_atom_site_fract_z
_atom_site_occupancy
Mn1 0.000 0.000 0.000 1
Mn2 0.250 0.250 0.250 1
Hg1 0.250 0.250 0.750 1
Rh1 0.000 0.000 0.500 1
```

=====

(6)
Entry from Alexandria: a relaxed NdPd8Pb2 crystal (PBE-GGA).

Computed properties:
Calculated formation energy ... -0.319 eV per atom

```
data_NdPd8Pb2
_space_group_name_H-M_alt 'C 1 2/m 1'
_space_group_IT_number 12
_cell_length_a 7.598
_cell_length_b 14.446
_cell_length_c 5.032
_cell_angle_alpha 90.00
_cell_angle_beta 131.01
_cell_angle_gamma 90.00
loop_
_space_group_symop_operation_xyz
'x,y,z'
'-x,-y,-z'
'-x,y,-z'
'x,-y,z'
'x+1/2,y+1/2,z'
'-x+1/2,-y+1/2,-z'
'-x+1/2,y+1/2,-z'
'x+1/2,-y+1/2,z'
loop_
_atom_site_label
_atom_site_fract_x
_atom_site_fract_y
_atom_site_fract_z
_atom_site_occupancy
Nd1 0.000 0.000 0.000 1
Pd1 0.000 0.197 0.000 1
Pd2 0.018 0.500 0.768 1
Pd3 0.236 0.136 0.726 1
Pb1 0.000 0.317 0.500 1
```

=====

(7)
Entry from Alexandria: a relaxed VFe2AuN crystal (PBE-GGA).

Computed properties:
Raw formation energy ... -1.1 eV/f.u.

```
data_VFe2AuN
_space_group_name_H-M_alt 'P 4/m m m'
_space_group_IT_number 123
_space_group_name_Hall '-P 4 2'
_cell_length_a 3.922
_cell_length_b 3.922
_cell_length_c 3.949
_cell_angle_alpha 90.00
_cell_angle_beta 90.00
_cell_angle_gamma 90.00
loop_
_atom_site_label
_atom_site_fract_x
_atom_site_fract_y
_atom_site_fract_z
_atom_site_occupancy
V1 0.000 0.000 0.000 1
Fe1 0.000 0.500 0.500 1
Au1 0.500 0.500 0.000 1
N1 0.000 0.000 0.500 1
```

=====

(8)
Entry from Alexandria: a relaxed LuPaHg2 crystal (PBE-GGA).

Computed properties:
Calculated formation energy ... -0.047 eV per atom

```
data_LuPaHg2
_space_group_name_H-M_alt 'F m -3 m'
_space_group_IT_number 225
_space_group_name_Hall '-F 4 2 3'
_cell_length_a 7.403
_cell_length_b 7.403
_cell_length_c 7.403
_cell_angle_alpha 90.00
_cell_angle_beta 90.00
_cell_angle_gamma 90.00
loop_
_atom_site_label
_atom_site_fract_x
_atom_site_fract_y
_atom_site_fract_z
_atom_site_occupancy
Lu1 0.000 0.000 0.000 1
Pa1 0.000 0.000 0.500 1
Hg1 0.250 0.250 0.250 1
```

=====

(9)
Entry from Alexandria: a relaxed LiHoCdIn crystal (PBE-GGA).

Computed properties:
Calculated formation energy ... -0.339 eV per atom

```
data_LiHoCdIn
_space_group_name_H-M_alt 'F -4 3 m'
_space_group_IT_number 216
_space_group_name_Hall 'F -4 2 3'
_cell_length_a 7.164
_cell_length_b 7.164
_cell_length_c 7.164
_cell_angle_alpha 90.00
_cell_angle_beta 90.00
_cell_angle_gamma 90.00
loop_
_atom_site_label
_atom_site_fract_x
_atom_site_fract_y
_atom_site_fract_z
_atom_site_occupancy
Li1 0.000 0.000 0.000 1
Ho1 0.000 0.000 0.500 1
Cd1 0.250 0.250 0.750 1
In1 0.250 0.250 0.250 1
```

=====

(10)
Entry from Alexandria: a relaxed Pr4PtI5 crystal (PBE-GGA).

Computed properties:
Raw formation energy ... -12.6 eV/f.u.

```
data_Pr4PtI5
_space_group_name_H-M_alt 'C 1 2/m 1'
_space_group_IT_number 12
_cell_length_a 20.018
_cell_length_b 4.295
_cell_length_c 9.271
_cell_angle_alpha 90.00
_cell_angle_beta 102.92
_cell_angle_gamma 90.00
loop_
_space_group_symop_operation_xyz
'x,y,z'
'-x,-y,-z'
'-x,y,-z'
'x,-y,z'
'x+1/2,y+1/2,z'
'-x+1/2,-y+1/2,-z'
'-x+1/2,y+1/2,-z'
'x+1/2,-y+1/2,z'
loop_
_atom_site_label
_atom_site_fract_x
_atom_site_fract_y
_atom_site_fract_z
_atom_site_occupancy
Pr1 0.000 0.000 0.209 1
Pr2 0.149 0.500 0.078 1
Pt1 0.000 0.500 0.000 1
I1 0.000 0.500 0.500 1
I2 0.168 0.000 0.345 1
I3 0.174 0.000 0.826 1
```

=====

(11)
Entry from Alexandria: a relaxed Ac3Sb2Cl crystal (PBE-GGA).

Computed properties:
Raw formation energy ... -5.9 eV/f.u.

```
data_Ac3Sb2Cl
_space_group_name_H-M_alt 'C m c m'
_space_group_IT_number 63
_space_group_name_Hall '-C 2c 2'
_cell_length_a 6.259
_cell_length_b 10.431
_cell_length_c 12.814
_cell_angle_alpha 90.00
_cell_angle_beta 90.00
_cell_angle_gamma 90.00
loop_
_atom_site_label
_atom_site_fract_x
_atom_site_fract_y
_atom_site_fract_z
_atom_site_occupancy
Ac1 0.000 0.011 0.250 1
Ac2 0.000 0.333 0.521 1
Sb1 0.000 0.000 0.000 1
Sb2 0.000 0.354 0.250 1
Cl1 0.000 0.308 0.750 1
```

=====

(12)
Entry from Alexandria: a relaxed LiPmMnTe3 crystal (PBE-GGA).

Computed properties:
Raw formation energy ... -5.1 eV/f.u.

```
data_LiPmMnTe3
_space_group_name_H-M_alt 'P 1 21/m 1'
_space_group_IT_number 11
_cell_length_a 8.412
_cell_length_b 4.253
_cell_length_c 9.470
_cell_angle_alpha 90.00
_cell_angle_beta 105.24
_cell_angle_gamma 90.00
loop_
_space_group_symop_operation_xyz
'x,y,z'
'-x,-y,-z'
'-x,y+1/2,-z'
'x,-y+1/2,z'
loop_
_atom_site_label
_atom_site_fract_x
_atom_site_fract_y
_atom_site_fract_z
_atom_site_occupancy
Li1 0.094 0.250 0.094 1
Pm1 0.201 0.250 0.744 1
Mn1 0.326 0.750 0.335 1
Te1 0.095 0.250 0.378 1
Te2 0.252 0.750 0.011 1
Te3 0.433 0.750 0.647 1
```

=====

Per-record total moment, μB/cell: 0.00; 17.61; 0.00; 0.00; 31.19; 0.00; 3.29; 8.27; 0.00; 0.00; 0.00; 9.95